First-principles (PBE-GGA) data for a geometry-optimized Tb6DyY2Mg structure, as listed in the Alexandria database.

a b c (Å): 6.623 10.922 10.922
angles (deg): 125.53 85.40 85.40
Atoms (fractional coordinates):
Tb 0.220 0.565 0.082
Tb 0.534 0.793 0.084
Tb 0.280 0.918 0.435
Tb 0.026 0.703 0.529
Tb 0.034 0.084 0.793
Tb 0.526 0.529 0.703
Tb 0.466 0.207 0.916
Tb 0.780 0.435 0.918
Tb 0.974 0.297 0.471
Tb 0.474 0.471 0.297
Tb 0.966 0.916 0.207
Tb 0.720 0.082 0.565
Y 0.991 0.348 0.182
Y 0.009 0.652 0.818
Y 0.509 0.818 0.652
Y 0.491 0.182 0.348
Dy 0.750 0.008 0.992
Dy 0.250 0.992 0.008
Mg 0.750 0.705 0.295
Mg 0.250 0.295 0.705

Computed properties:
crystal system	monoclinic
energy of formation	105	kJ/mol of formula units

***

First-principles (PBE-GGA) data for a geometry-optimized Tb6Dy2YMg structure, as listed in the Alexandria database.

a b c (Å): 6.616 10.942 10.942
angles (deg): 126.07 85.64 85.64
Atoms (fractional coordinates):
Tb 0.780 0.436 0.917
Tb 0.024 0.700 0.534
Tb 0.720 0.083 0.564
Tb 0.280 0.917 0.436
Tb 0.220 0.564 0.083
Tb 0.476 0.466 0.300
Tb 0.033 0.086 0.792
Tb 0.524 0.534 0.700
Tb 0.976 0.300 0.466
Tb 0.533 0.792 0.086
Tb 0.967 0.914 0.208
Tb 0.467 0.208 0.914
Y 0.750 0.008 0.992
Y 0.250 0.992 0.008
Mg 0.250 0.296 0.704
Mg 0.750 0.704 0.296
Dy 0.493 0.179 0.349
Dy 0.507 0.821 0.651
Dy 0.007 0.651 0.821
Dy 0.993 0.349 0.179

Computed properties:
crystal system	monoclinic
energy of formation	110	kJ/mol of formula units

***

First-principles (PBE-GGA) data for a geometry-optimized Tb2DyY2Mg structure, as listed in the Alexandria database.

a b c (Å): 3.610 11.715 10.368
angles (deg): 90.00 90.00 90.00
Atoms (fractional coordinates):
Tb 0.500 0.225 0.587
Tb 0.000 0.725 0.913
Tb 0.500 0.775 0.413
Tb 0.000 0.275 0.087
Dy 0.000 0.000 0.500
Dy 0.500 0.500 0.000
Y 0.500 0.929 0.752
Y 0.500 0.071 0.248
Y 0.000 0.571 0.252
Y 0.000 0.429 0.748
Mg 0.000 0.000 0.000
Mg 0.500 0.500 0.500

Computed properties:
crystal system	orthorhombic
energy of formation	275	kJ/mol of formula units

***

First-principles (PBE-GGA) data for a geometry-optimized Tb3Dy2Y6Mg structure, as listed in the Alexandria database.

a b c (Å): 6.145 6.145 11.717
angles (deg): 95.05 95.05 120.03
Atoms (fractional coordinates):
Dy 0.334 0.666 0.000
Dy 0.666 0.334 0.000
Mg 0.000 0.000 0.000
Tb 0.834 0.166 0.500
Tb 0.166 0.834 0.500
Tb 0.500 0.500 0.500
Y 0.251 0.251 0.751
Y 0.749 0.749 0.249
Y 0.082 0.414 0.248
Y 0.918 0.586 0.752
Y 0.414 0.082 0.248
Y 0.586 0.918 0.752

Computed properties:
crystal system	monoclinic
energy of formation	36	kJ/mol of formula units

***

First-principles (PBE-GGA) data for a geometry-optimized Tb2Dy2YMg2 structure, as listed in the Alexandria database.

a b c (Å): 5.441 5.441 8.606
angles (deg): 71.57 71.57 60.00
Atoms (fractional coordinates):
Y 0.000 0.000 0.000
Dy 0.573 0.573 0.281
Dy 0.427 0.427 0.719
Tb 0.155 0.155 0.534
Tb 0.845 0.845 0.466
Mg 0.710 0.710 0.869
Mg 0.290 0.290 0.131

Computed properties:
crystal system	trigonal
energy of formation	-19	kJ/mol of formula units

***

First-principles (PBE-GGA) data for a geometry-optimized Tb2Dy2YMg5 structure, as listed in the Alexandria database.

a b c (Å): 5.069 10.568 10.568
angles (deg): 90.00 90.00 90.00
Atoms (fractional coordinates):
Tb 0.000 0.823 0.677
Tb 0.000 0.323 0.823
Tb 0.000 0.177 0.323
Tb 0.000 0.677 0.177
Mg 0.500 0.304 0.575
Mg 0.500 0.804 0.925
Mg 0.500 0.696 0.425
Mg 0.500 0.075 0.804
Mg 0.500 0.925 0.196
Mg 0.500 0.196 0.075
Mg 0.500 0.575 0.696
Mg 0.500 0.425 0.304
Mg 0.500 0.500 0.000
Mg 0.500 0.000 0.500
Y 0.000 0.000 0.000
Y 0.000 0.500 0.500
Dy 0.000 0.620 0.880
Dy 0.000 0.120 0.620
Dy 0.000 0.880 0.380
Dy 0.000 0.380 0.120

Computed properties:
crystal system	tetragonal
energy of formation	58	kJ/mol of formula units

***

First-principles (PBE-GGA) data for a geometry-optimized Tb6Dy2Y3Mg structure, as listed in the Alexandria database.

a b c (Å): 6.141 6.141 11.685
angles (deg): 95.06 95.06 120.04
Atoms (fractional coordinates):
Dy 0.666 0.334 0.000
Dy 0.334 0.666 0.000
Tb 0.918 0.585 0.752
Tb 0.251 0.251 0.751
Tb 0.415 0.082 0.248
Tb 0.749 0.749 0.249
Tb 0.082 0.415 0.248
Tb 0.585 0.918 0.752
Y 0.500 0.500 0.500
Y 0.166 0.834 0.500
Y 0.834 0.166 0.500
Mg 0.000 0.000 0.000

Computed properties:
crystal system	monoclinic
energy of formation	32	kJ/mol of formula units

***

First-principles (PBE-GGA) data for a geometry-optimized Tb2Dy3Y6Mg structure, as listed in the Alexandria database.

a b c (Å): 6.139 6.139 11.723
angles (deg): 95.05 95.05 120.04
Atoms (fractional coordinates):
Y 0.586 0.918 0.751
Y 0.750 0.750 0.250
Y 0.250 0.250 0.750
Y 0.082 0.414 0.249
Y 0.918 0.586 0.751
Y 0.414 0.082 0.249
Dy 0.834 0.166 0.500
Dy 0.500 0.500 0.500
Dy 0.166 0.834 0.500
Tb 0.334 0.666 0.000
Tb 0.666 0.334 0.000
Mg 0.000 0.000 0.000

Computed properties:
crystal system	monoclinic
energy of formation	35	kJ/mol of formula units